A relaxed structure of TaCoOF2. Source: Alexandria, functional PBE+U.

Computed properties:
Mass density   7.871 g/cm³
E   -5.62 eV per atom
Size of the total moment   5.57 μB per cell
Energy above the most stable polymorph in this dataset   892 meV/atom

The structure in CIF format:
```
data_TaCoOF2
_chemical_formula_sum 'Ta1 Co1 O1 F2'
_space_group_name_H-M_alt 'P 1'
_space_group_IT_number 1
_space_group_name_Hall 'P 1'
_cell_length_a 3.929
_cell_length_b 3.929
_cell_length_c 4.016
_cell_angle_alpha 90.00
_cell_angle_beta 90.00
_cell_angle_gamma 90.00
loop_
_atom_site_label
_atom_site_fract_x
_atom_site_fract_y
_atom_site_fract_z
O1 0.000 0.000 0.500
F1 0.000 0.500 0.000
Co1 0.000 0.000 0.000
Ta1 0.500 0.500 0.500
F2 0.500 0.000 0.000
```